Entry from Alexandria via LeMat-Bulk: a relaxed PtRhCl2 crystal (GGA-PBEsol).

Computed properties:
As for the offset from the most stable computed form: 128 kJ/mol of formula units. As for the volume: 15.2 Å³/atom. Its total energy is -16.2 eV for the cell shown. The value obtained for the energy relative to the elements, uncorrected is 2.9 eV per formula unit.

a = 4.411 Å, b = 4.411 Å, c = 4.411 Å
α = 60.00°, β = 60.00°, γ = 60.00°
Last column: magnetic moment on the atom in μB.
Fractional positions:
Rh 0.000 0.000 0.000  0.27
Pt 0.500 0.500 0.500  0.04
Cl 0.750 0.750 0.750  0.02
Cl 0.250 0.250 0.250  0.02